The following is a DFT calculation (PBE) of an optimized crystal structure of Ca2NbTcI.

Output
spin magnetization	5.79	μB/f.u.
mass density	3.71	g/cm3
DOS at the Fermi energy	5.9	states/eV per cell
energy relative to the elements, uncorrected	1.39	eV/atom
crystal system	tetragonal

Cell lengths 5.8571, 5.8571, 5.1992 Å; angles 90.00, 90.00, 90.00 degrees
Closest atoms and distances in Å follow each position.
Space group P4/mmm (No. 123)
One atom of each set of equivalent atoms:
Ca 0.0000 0.5000 0.0000 (multiplicity 2)  2 Nb 2.93
Nb 0.0000 0.0000 0.0000 (multiplicity 1)  2 I 2.60
Tc 0.5000 0.5000 0.5000 (multiplicity 1)  8 Ca 3.92, 4 I 4.14
I 0.0000 0.0000 0.5000 (multiplicity 1)  2 Nb 2.60

***

The following is a DFT calculation (PBE) of an optimized crystal structure of CaNd2I.

Output
spin magnetization	0.00	μB/f.u.
mass density	5.17	g/cm3
DOS at the Fermi energy	19.0	states/eV per cell
energy relative to the elements, uncorrected	-0.19	eV/atom
crystal system	trigonal

Cell lengths 3.7271, 3.7271, 36.5145 Å; angles 90.00, 90.00, 120.00 degrees
Closest atoms and distances in Å follow each position.
Space group R-3m (No. 166, hexagonal axes)
One atom of each set of equivalent atoms:
Ca 0.0000 0.0000 0.0000 (multiplicity 3)  2 Nd 3.53, 6 Ca 3.73
Nd 0.0000 0.0000 0.0966 (multiplicity 6)  3 I 3.34, 1 Ca 3.53, 6 Nd 3.73
I 0.0000 0.0000 0.5000 (multiplicity 3)  6 Nd 3.34, 6 I 3.73

***

The following is a DFT calculation (PBE) of an optimized crystal structure of CaNdI.

Output
spin magnetization	0.00	μB/f.u.
mass density	4.80	g/cm3
excess energy over the best structure of this formula in the dataset	0.00	eV/f.u.
DOS at the Fermi energy	1.9	states/eV per cell
energy relative to the elements, uncorrected	-0.61	eV/atom
crystal system	trigonal

Cell lengths 3.9709, 3.9709, 7.8862 Å; angles 90.00, 90.00, 120.00 degrees
Closest atoms and distances in Å follow each position.
Space group P3m1 (No. 156)
One atom of each set of equivalent atoms:
Ca 0.0000 0.0000 0.0000 (multiplicity 1)  3 I 3.41, 3 Nd 3.73
Nd 0.6667 0.3333 0.3727 (multiplicity 1)  3 I 3.33, 3 Ca 3.73
I 0.3333 0.6667 0.6794 (multiplicity 1)  3 Nd 3.33, 3 Ca 3.41

***

The following is a DFT calculation (PBE) of an optimized crystal structure of Ca2NdI.

Output
spin magnetization	0.00	μB/f.u.
mass density	4.00	g/cm3
excess energy over the best structure of this formula in the dataset	0.00	eV/f.u.
DOS at the Fermi energy	10.0	states/eV per cell
energy relative to the elements, uncorrected	-0.50	eV/atom
crystal system	trigonal

Cell lengths 3.9253, 3.9253, 32.8240 Å; angles 90.00, 90.00, 120.00 degrees
Closest atoms and distances in Å follow each position.
Space group R-3m (No. 166, hexagonal axes)
One atom of each set of equivalent atoms:
Ca 0.0000 0.0000 0.2418 (multiplicity 6)  3 I 3.35
Nd 0.0000 0.0000 0.0000 (multiplicity 3)  6 Ca 3.76, 6 Nd 3.93
I 0.0000 0.0000 0.5000 (multiplicity 3)  6 Ca 3.35

***

The following is a DFT calculation (PBE) of an optimized crystal structure of CaNdI6.

Output
spin magnetization	0.00	μB/f.u.
mass density	4.38	g/cm3
DOS at the Fermi energy	14.4	states/eV per cell
energy relative to the elements, uncorrected	-1.17	eV/atom
crystal system	triclinic

Cell lengths 7.7863, 7.7949, 8.1143 Å; angles 90.03, 118.07, 119.95 degrees
Closest atoms and distances in Å follow each position.
Space group P-1 (No. 2)
One atom of each set of equivalent atoms:
Ca 0.0000 0.0000 0.0000 (multiplicity 1)  6 I 3.15-3.16
Nd 0.0000 0.5000 0.5000 (multiplicity 1)  6 I 3.13-3.14
I 0.1731 0.4304 0.2439 (multiplicity 2)  1 Nd 3.13, 1 Ca 3.16
I 0.1795 0.2519 0.7479 (multiplicity 2)  1 Nd 3.13, 1 Ca 3.15
I 0.4967 0.9234 0.7513 (multiplicity 2)  1 Nd 3.14, 1 Ca 3.16

***

The following is a DFT calculation (PBE) of an optimized crystal structure of Ca2NdI.

Output
spin magnetization	0.00	μB/f.u.
mass density	3.96	g/cm3
excess energy over the best structure of this formula in the dataset	0.25	eV/f.u.
DOS at the Fermi energy	4.8	states/eV per cell
energy relative to the elements, uncorrected	-0.43	eV/atom
crystal system	tetragonal

Cell lengths 3.8086, 3.8086, 10.1547 Å; angles 90.00, 90.00, 90.00 degrees
Closest atoms and distances in Å follow each position.
Space group P4/mmm (No. 123)
One atom of each set of equivalent atoms:
Ca 0.0000 0.0000 0.2332 (multiplicity 2)  4 I 3.59, 4 Ca 3.81, 4 Nd 3.82
Nd 0.5000 0.5000 0.5000 (multiplicity 1)  4 Nd 3.81, 8 Ca 3.82
I 0.5000 0.5000 0.0000 (multiplicity 1)  8 Ca 3.59, 4 I 3.81

***

The following is a DFT calculation (PBE) of an optimized crystal structure of CaNdI.

Output
spin magnetization	0.93	μB/f.u.
mass density	4.89	g/cm3
excess energy over the best structure of this formula in the dataset	0.14	eV/f.u.
DOS at the Fermi energy	6.2	states/eV per cell
energy relative to the elements, uncorrected	-0.56	eV/atom
crystal system	hexagonal

Cell lengths 3.9569, 3.9569, 15.5893 Å; angles 90.00, 90.00, 120.00 degrees
Closest atoms and distances in Å follow each position.
Space group P-6m2 (No. 187)
One atom of each set of equivalent atoms:
Ca 0.0000 0.0000 0.0000 (multiplicity 1)  6 Nd 3.80, 6 Ca 3.96
Ca 0.3333 0.6667 0.5000 (multiplicity 1)  6 I 3.25
Nd 0.3333 0.6667 0.1951 (multiplicity 2)  3 I 3.34
I 0.0000 0.0000 0.3513 (multiplicity 2)  3 Ca 3.25, 3 Nd 3.34

***

The following is a DFT calculation (PBE) of an optimized crystal structure of CaNdI5.

Output
spin magnetization	0.00	μB/f.u.
mass density	4.29	g/cm3
DOS at the Fermi energy	0.0	states/eV per cell
energy relative to the elements, uncorrected	-1.45	eV/atom
crystal system	monoclinic

Cell lengths 9.4271, 4.4631, 15.1272 Å; angles 90.00, 95.04, 90.00 degrees
Closest atoms and distances in Å follow each position.
Space group P2_1/m (No. 11)
One atom of each set of equivalent atoms:
Ca 0.0883 0.2500 0.1348 (multiplicity 2)  7 I 3.17-3.48
Nd 0.4101 0.7500 0.3454 (multiplicity 2)  7 I 3.13-3.45
I 0.0757 0.7500 0.3103 (multiplicity 2)  1 Nd 3.15, 2 Ca 3.48
I 0.1382 0.2500 0.9268 (multiplicity 2)  3 Ca 3.17-3.22
I 0.3213 0.2500 0.4841 (multiplicity 2)  3 Nd 3.22-3.45
I 0.3427 0.7500 0.1335 (multiplicity 2)  1 Nd 3.21, 2 Ca 3.28
I 0.3799 0.7500 0.7069 (multiplicity 2)  2 Nd 3.13

***

The following is a DFT calculation (PBE) of an optimized crystal structure of CaNdI4.

Output
spin magnetization	0.01	μB/f.u.
mass density	4.26	g/cm3
DOS at the Fermi energy	6.8	states/eV per cell
energy relative to the elements, uncorrected	-1.41	eV/atom
crystal system	monoclinic

Cell lengths 17.5690, 4.2677, 7.8917 Å; angles 90.00, 114.18, 90.00 degrees
Closest atoms and distances in Å follow each position.
Space group C2/m (No. 12)
One atom of each set of equivalent atoms:
Ca 0.0000 0.0000 0.0000 (multiplicity 2)  6 I 3.14-3.16
Nd 0.0000 0.5000 0.5000 (multiplicity 2)  6 I 3.19-3.21
I 0.1162 0.5000 0.2769 (multiplicity 4)  2 Ca 3.14, 1 Nd 3.19
I 0.1202 0.0000 0.7920 (multiplicity 4)  1 Ca 3.16, 2 Nd 3.21

***

The following is a DFT calculation (PBE) of an optimized crystal structure of RbCa2NdI8.

Output
spin magnetization	0.00	μB/f.u.
mass density	3.93	g/cm3
DOS at the Fermi energy	0.0	states/eV per cell
energy relative to the elements, uncorrected	-1.47	eV/atom
crystal system	monoclinic

Cell lengths 7.3234, 9.8082, 7.7955 Å; angles 90.00, 90.40, 90.00 degrees
Closest atoms and distances in Å follow each position.
Space group P2/m (No. 10)
One atom of each set of equivalent atoms:
Rb 0.0000 0.0000 0.0000 (multiplicity 1)  6 I 3.55-3.56
Ca 0.5000 0.2495 0.5000 (multiplicity 2)  6 I 3.13-3.30
Nd 0.0000 0.5000 0.0000 (multiplicity 1)  6 I 3.11-3.23
I 0.2525 0.2811 0.1666 (multiplicity 4)  1 Nd 3.11, 1 Ca 3.17
I 0.2581 0.5000 0.6649 (multiplicity 2)  1 Nd 3.23, 2 Ca 3.30
I 0.2670 0.0000 0.6215 (multiplicity 2)  2 Ca 3.13

***

The following is a DFT calculation (PBE) of an optimized crystal structure of RbCaNdI6.

Output
spin magnetization	0.00	μB/f.u.
mass density	3.70	g/cm3
DOS at the Fermi energy	0.0	states/eV per cell
energy relative to the elements, uncorrected	-1.51	eV/atom
crystal system	trigonal

Cell lengths 8.1420, 8.1420, 16.1092 Å; angles 90.00, 90.00, 120.00 degrees
Closest atoms and distances in Å follow each position.
Space group P-31c (No. 163)
One atom of each set of equivalent atoms:
Rb 0.0000 0.0000 0.0000 (multiplicity 2)  6 I 3.76
Ca 0.3333 0.6667 0.2500 (multiplicity 2)  6 I 3.16
Nd 0.3333 0.6667 0.7500 (multiplicity 2)  6 I 3.14
I 0.0014 0.3746 0.6366 (multiplicity 12)  1 Nd 3.14, 1 Ca 3.16

***

The following is a DFT calculation (PBE) of an optimized crystal structure of Ca2NiI.

Output
spin magnetization	0.00	μB/f.u.
mass density	4.12	g/cm3
excess energy over the best structure of this formula in the dataset	0.18	eV/f.u.
DOS at the Fermi energy	8.0	states/eV per cell
energy relative to the elements, uncorrected	-0.22	eV/atom
crystal system	cubic

Cell lengths 7.5378, 7.5378, 7.5378 Å; angles 90.00, 90.00, 90.00 degrees
Closest atoms and distances in Å follow each position.
Space group Fm-3m (No. 225)
One atom of each set of equivalent atoms:
Ca 0.2500 0.2500 0.2500 (multiplicity 8)  4 Ni 3.26, 4 I 3.26
Ni 0.0000 0.0000 0.0000 (multiplicity 4)  8 Ca 3.26
I 0.0000 0.0000 0.5000 (multiplicity 4)  8 Ca 3.26

***

The following is a DFT calculation (PBE) of an optimized crystal structure of CaNiI3.

Output
spin magnetization	0.00	μB/f.u.
mass density	5.17	g/cm3
excess energy over the best structure of this formula in the dataset	0.00	eV/f.u.
DOS at the Fermi energy	2.3	states/eV per cell
energy relative to the elements, uncorrected	-0.52	eV/atom
crystal system	cubic

Cell lengths 5.3617, 5.3617, 5.3617 Å; angles 90.00, 90.00, 90.00 degrees
Closest atoms and distances in Å follow each position.
Space group Pm-3m (No. 221)
One atom of each set of equivalent atoms:
Ca 0.0000 0.0000 0.0000 (multiplicity 1)  12 I 3.79
Ni 0.5000 0.5000 0.5000 (multiplicity 1)  6 I 2.68
I 0.0000 0.5000 0.5000 (multiplicity 3)  2 Ni 2.68

***

The following is a DFT calculation (PBE) of an optimized crystal structure of CaNiI3.

Output
spin magnetization	1.00	μB/f.u.
mass density	3.56	g/cm3
excess energy over the best structure of this formula in the dataset	2.18	eV/f.u.
DOS at the Fermi energy	19.1	states/eV per cell
energy relative to the elements, uncorrected	-0.08	eV/atom
crystal system	cubic

Cell lengths 6.0672, 6.0672, 6.0672 Å; angles 90.00, 90.00, 90.00 degrees
Closest atoms and distances in Å follow each position.
Space group Pm-3m (No. 221)
One atom of each set of equivalent atoms:
Ca 0.0000 0.0000 0.0000 (multiplicity 1)  6 I 3.03
Ni 0.5000 0.5000 0.5000 (multiplicity 1)  12 I 4.29
I 0.0000 0.0000 0.5000 (multiplicity 3)  2 Ca 3.03

***

The following is a DFT calculation (PBE) of an optimized crystal structure of CaNi2I.

Output
spin magnetization	0.00	μB/f.u.
mass density	6.38	g/cm3
excess energy over the best structure of this formula in the dataset	0.47	eV/f.u.
DOS at the Fermi energy	14.2	states/eV per cell
energy relative to the elements, uncorrected	0.28	eV/atom
crystal system	cubic

Cell lengths 6.6631, 6.6631, 6.6631 Å; angles 90.00, 90.00, 90.00 degrees
Closest atoms and distances in Å follow each position.
Space group Fm-3m (No. 225)
One atom of each set of equivalent atoms:
Ca 0.0000 0.0000 0.0000 (multiplicity 4)  8 Ni 2.89
Ni 0.2500 0.2500 0.2500 (multiplicity 8)  4 Ca 2.89, 4 I 2.89
I 0.0000 0.0000 0.5000 (multiplicity 4)  8 Ni 2.89

***

The following is a DFT calculation (PBE) of an optimized crystal structure of Ca3Ni5I12.

Output
spin magnetization	6.11	μB/f.u.
mass density	5.07	g/cm3
DOS at the Fermi energy	156.2	states/eV per cell
energy relative to the elements, uncorrected	-0.57	eV/atom
crystal system	cubic

Cell lengths 17.1823, 17.1823, 17.1823 Å; angles 90.00, 90.00, 90.00 degrees
Closest atoms and distances in Å follow each position.
Space group Ia-3d (No. 230)
One atom of each set of equivalent atoms:
Ca 0.0000 0.2500 0.1250 (multiplicity 24)  8 I 3.32-3.41
Ni 0.0000 0.0000 0.0000 (multiplicity 16)  6 I 2.78
Ni 0.0000 0.2500 0.3750 (multiplicity 24)  4 I 2.56
I 0.0303 0.0552 0.6491 (multiplicity 96)  2 Ni 2.56-2.78

***

The following is a DFT calculation (PBE) of an optimized crystal structure of Ca2NiI.

Output
spin magnetization	0.00	μB/f.u.
mass density	3.50	g/cm3
excess energy over the best structure of this formula in the dataset	0.00	eV/f.u.
DOS at the Fermi energy	20.3	states/eV per cell
energy relative to the elements, uncorrected	-0.27	eV/atom
crystal system	tetragonal

Cell lengths 7.8385, 7.8385, 8.1981 Å; angles 90.00, 90.00, 90.00 degrees
Closest atoms and distances in Å follow each position.
Space group I-42d (No. 122)
One atom of each set of equivalent atoms:
Ca 0.1964 0.2500 0.1250 (multiplicity 8)  2 Ni 2.69
Ni 0.0000 0.0000 0.0000 (multiplicity 4)  4 Ca 2.69
I 0.0000 0.0000 0.5000 (multiplicity 4)  4 Ca 3.25

***

The following is a DFT calculation (PBE) of an optimized crystal structure of Ca3NiI.

Output
spin magnetization	0.00	μB/f.u.
mass density	3.01	g/cm3
excess energy over the best structure of this formula in the dataset	0.00	eV/f.u.
DOS at the Fermi energy	2.4	states/eV per cell
energy relative to the elements, uncorrected	-0.32	eV/atom
crystal system	cubic

Cell lengths 5.5234, 5.5234, 5.5234 Å; angles 90.00, 90.00, 90.00 degrees
Closest atoms and distances in Å follow each position.
Space group Pm-3m (No. 221)
One atom of each set of equivalent atoms:
Ca 0.0000 0.0000 0.5000 (multiplicity 3)  2 Ni 2.76
Ni 0.0000 0.0000 0.0000 (multiplicity 1)  6 Ca 2.76
I 0.5000 0.5000 0.5000 (multiplicity 1)  12 Ca 3.91

***

The following is a DFT calculation (PBE) of an optimized crystal structure of CaNi2I.

Output
spin magnetization	0.00	μB/f.u.
mass density	5.03	g/cm3
excess energy over the best structure of this formula in the dataset	0.00	eV/f.u.
DOS at the Fermi energy	7.1	states/eV per cell
energy relative to the elements, uncorrected	0.16	eV/atom
crystal system	tetragonal

Cell lengths 4.7258, 4.7258, 16.8089 Å; angles 90.00, 90.00, 90.00 degrees
Closest atoms and distances in Å follow each position.
Space group I-42d (No. 122)
One atom of each set of equivalent atoms:
Ca 0.0000 0.0000 0.0000 (multiplicity 4)  4 Ni 3.19, 4 I 3.34
Ni 0.0592 0.2500 0.6250 (multiplicity 8)  2 I 2.43, 2 Ni 2.43
I 0.0000 0.0000 0.5000 (multiplicity 4)  4 Ni 2.43